[1]
LiPu2ThS4, relaxed, DFT PBE-GGA; formation energy without anion corrections = -1.674 eV/atom; crystal system = monoclinic; total magnetization = 0.080 μB per formula unit; energy = -8.49 eV per atom
1.0
3.9635 0.0000 0.0000
0.0000 6.8506 -0.1235
0.0000 2.4288 6.4391
Th Pu Li S
1 2 1 4
Direct
0.0000 0.5000 0.5000
0.5000 0.0000 0.5000
0.0000 0.0000 0.0000
0.5000 0.5000 0.0000
0.5000 0.7519 0.2392
0.0000 0.2543 0.2448
0.5000 0.2481 0.7608
0.0000 0.7457 0.7552

[2]
Sn2HgGeTe4, relaxed, DFT PBE-GGA; formation energy without anion corrections = -0.156 eV/atom; crystal system = monoclinic; total magnetization = 0.000 μB per formula unit; energy = -3.34 eV per atom
1.0
4.4231 0.0000 0.0000
0.0000 7.6179 -0.0908
0.0000 2.7368 7.1607
Te Sn Ge Hg
4 2 1 1
Direct
0.0000 0.2587 0.2529
0.0000 0.7413 0.7471
0.5000 0.2606 0.7378
0.5000 0.7394 0.2622
0.5000 0.0000 0.5000
0.0000 0.0000 0.0000
0.0000 0.5000 0.5000
0.5000 0.5000 0.0000

[3]
ReMo8W6, relaxed, DFT PBE-GGA; crystal system = trigonal; formation enthalpy at 0 K = 0.296 eV per atom; total magnetization = 0.000 μB per formula unit; energy = -11.49 eV per atom
1.0
6.6231 1.7533 1.8107
1.5459 6.6746 1.8107
1.5459 1.5949 6.7294
W Mo Re
6 8 1
Direct
0.8679 0.6249 0.3779
0.6249 0.3779 0.8679
0.3779 0.8679 0.6249
0.1321 0.3751 0.6221
0.6221 0.1321 0.3751
0.3751 0.6221 0.1321
0.7505 0.7505 0.7505
0.1283 0.6204 0.8732
0.1268 0.8717 0.3796
0.6204 0.8732 0.1283
0.8717 0.3796 0.1268
0.8732 0.1283 0.6204
0.2495 0.2495 0.2495
0.3796 0.1268 0.8717
0.0000 0.0000 0.0000

[4]
TeOsO2F, relaxed, DFT PBE-GGA; formation energy without anion corrections = 0.567 eV/atom; crystal system = tetragonal; total magnetization = 4.082 μB per formula unit; energy = -4.66 eV per atom
1.0
4.2302 0.0000 0.0000
0.0000 4.2302 0.0000
0.0000 0.0000 4.4439
O F Te Os
2 1 1 1
Direct
0.5000 0.0000 0.0000
0.0000 0.5000 0.0000
0.0000 0.0000 0.5000
0.0000 0.0000 0.0000
0.5000 0.5000 0.5000

[5]
AcPmGdHg, relaxed, DFT PBE-GGA; crystal system = cubic; formation enthalpy at 0 K = 0.005 eV per atom; total magnetization = 8.225 μB per formula unit; energy = -5.81 eV per atom
1.0
-3.5369 -2.7241 3.4521
1.8015 -1.8047 5.0344
-1.8288 2.5042 4.7151
Hg Gd Pm Ac
1 1 1 1
Direct
0.2500 0.2500 0.2500
0.0000 0.0000 0.0000
0.5000 0.5000 0.5000
0.7500 0.7500 0.7500

[6]
AgB2Cl8, relaxed, DFT PBE-GGA; formation energy without anion corrections = -0.742 eV/atom; crystal system = monoclinic; total magnetization = 1.038 μB per formula unit; energy = -3.56 eV per atom; distance to the lowest polymorph of the same formula = 0.000 eV per atom
1.0
6.0868 -0.2765 -0.2365
0.4610 7.3724 0.0095
0.4610 1.1522 7.2818
Cl Ag B
8 1 2
Direct
0.7932 0.6367 0.6367
0.2231 0.2825 0.9684
0.6264 0.2148 0.2148
0.3736 0.7852 0.7852
0.7769 0.7175 0.0316
0.2231 0.9684 0.2825
0.7769 0.0316 0.7175
0.2068 0.3633 0.3633
0.0000 0.0000 0.0000
0.3286 0.2166 0.2166
0.6714 0.7834 0.7834

[7]
Ba2Ge2Pd, relaxed, DFT PBE-GGA; crystal system = tetragonal; formation enthalpy at 0 K = -0.285 eV per atom; total magnetization = 0.000 μB per formula unit; energy = -3.94 eV per atom
1.0
3.9010 0.0000 0.0000
0.0000 3.9010 0.0000
1.9505 1.9505 9.7322
Ge Ba Pd
2 2 1
Direct
0.7500 0.2500 0.5000
0.2500 0.7500 0.5000
0.5992 0.5992 0.8017
0.4008 0.4008 0.1983
0.0000 0.0000 0.0000

[8]
Pm8Y6In, relaxed, DFT PBE-GGA; crystal system = trigonal; formation enthalpy at 0 K = 0.070 eV per atom; total magnetization = 0.003 μB per formula unit; energy = -5.23 eV per atom
1.0
-4.8892 -4.3884 -0.3777
4.3994 -5.4357 6.2057
-6.0538 6.4921 2.9354
Pm Y In
8 6 1
Direct
0.8227 0.0411 0.2714
0.8227 0.2304 0.9589
0.1495 0.6667 0.3333
0.8505 0.3333 0.6667
0.1773 0.7696 0.0411
0.1773 0.9589 0.7286
0.8227 0.7286 0.7696
0.1773 0.2714 0.2304
0.6641 0.4442 0.3484
0.3359 0.3484 0.9042
0.6641 0.9042 0.5558
0.3359 0.0958 0.4442
0.6641 0.6516 0.0958
0.3359 0.5558 0.6516
0.5000 0.0000 0.0000

[9]
ErTh2Mo, relaxed, DFT PBE-GGA; crystal system = trigonal; formation enthalpy at 0 K = 0.487 eV per atom; total magnetization = 0.000 μB per formula unit; energy = -7.07 eV per atom; distance to the lowest polymorph of the same formula = 0.332 eV per atom
1.0
-3.1077 0.1423 -1.5414
-2.4966 -2.2314 0.9176
-5.3444 6.3424 7.4507
Th Er Mo
2 1 1
Direct
0.9004 0.9004 0.2987
0.0996 0.0996 0.7013
0.0000 0.0000 0.0000
0.5000 0.5000 0.5000

[10]
Ca2MgCdPt, relaxed, DFT PBE-GGA; crystal system = tetragonal; formation enthalpy at 0 K = -0.441 eV per atom; total magnetization = 0.000 μB per formula unit; energy = -2.95 eV per atom
1.0
-1.4198 0.2866 5.3209
-5.2430 -1.0583 -1.3420
0.8761 -4.9771 0.5019
Ca Cd Mg Pt
2 1 1 1
Direct
0.0000 0.5000 0.0000
0.5000 0.0000 0.0000
0.5000 0.5000 0.5000
0.0000 0.0000 0.5000
0.0000 0.0000 0.0000

[11]
Th2ZnGe3Pt4, relaxed, DFT PBE-GGA; crystal system = tetragonal; formation enthalpy at 0 K = -0.910 eV per atom; total magnetization = 0.000 μB per formula unit; energy = -6.32 eV per atom
1.0
4.3513 0.0000 0.0000
0.0000 4.3513 0.0000
0.0000 0.0000 10.1836
Pt Ge Th Zn
4 3 2 1
Direct
0.5000 0.0000 0.6296
0.5000 0.5000 0.0000
0.0000 0.5000 0.3704
0.0000 0.0000 0.0000
0.5000 0.0000 0.8689
0.0000 0.5000 0.1311
0.0000 0.0000 0.5000
0.5000 0.0000 0.2472
0.0000 0.5000 0.7528
0.5000 0.5000 0.5000

[12]
SrTaPt3, relaxed, DFT PBE-GGA; crystal system = cubic; formation enthalpy at 0 K = -0.122 eV per atom; total magnetization = 0.000 μB per formula unit; energy = -6.45 eV per atom; distance to the lowest polymorph of the same formula = 0.000 eV per atom
1.0
-4.2971 -1.4449 -2.0575
-0.3494 -3.6915 3.3221
-2.4897 3.0118 3.0849
Sr Pt Ta
1 3 1
Direct
0.5000 0.5000 0.5000
0.0000 0.5000 0.0000
0.0000 0.0000 0.5000
0.5000 0.0000 0.0000
0.0000 0.0000 0.0000

[13]
Zn12AgAu6, relaxed, DFT PBE-GGA; crystal system = trigonal; formation enthalpy at 0 K = -0.122 eV per atom; total magnetization = 0.000 μB per formula unit; energy = -2.11 eV per atom
1.0
-6.6981 0.0279 -1.9622
1.5484 -6.8057 0.0234
-0.4042 1.4901 6.8068
Zn Au Ag
12 6 1
Direct
0.4540 0.3917 0.8099
0.6083 0.1901 0.5460
0.9616 0.7436 0.2381
0.2564 0.7619 0.0384
0.3917 0.8099 0.4540
0.2381 0.9616 0.7436
0.1901 0.5460 0.6083
0.5460 0.6083 0.1901
0.7619 0.0384 0.2564
0.7436 0.2381 0.9616
0.8099 0.4540 0.3917
0.0384 0.2564 0.7619
0.4431 0.1980 0.1415
0.8020 0.8585 0.5569
0.8585 0.5569 0.8020
0.5569 0.8020 0.8585
0.1980 0.1415 0.4431
0.1415 0.4431 0.1980
0.0000 0.0000 0.0000

[14]
LiScPt, relaxed, DFT PBE-GGA; crystal system = trigonal; formation enthalpy at 0 K = -0.683 eV per atom; total magnetization = 0.000 μB per formula unit; energy = -5.44 eV per atom; distance to the lowest polymorph of the same formula = 0.124 eV per atom
1.0
4.3830 0.0000 0.0000
-2.1915 3.7958 0.0000
0.0000 0.0000 2.9513
Sc Pt Li
1 1 1
Direct
0.3333 0.6667 0.6749
0.6667 0.3333 0.2765
0.0000 0.0000 0.0486

[15]
Cr3As, relaxed, DFT PBE-GGA; crystal system = monoclinic; formation enthalpy at 0 K = 0.167 eV per atom; total magnetization = 0.000 μB per formula unit; energy = -8.21 eV per atom
1.0
-1.0584 0.2775 -3.6162
2.5828 -0.6796 -0.8081
0.9814 -5.1657 -0.6836
Cr As
3 1
Direct
0.5000 0.6968 0.7492
0.5000 0.3032 0.2508
0.0000 0.5000 0.5000
0.0000 0.0000 0.0000

[16]
Cd2SF, relaxed, DFT PBE-GGA; formation energy without anion corrections = -0.898 eV/atom; crystal system = tetragonal; total magnetization = 0.000 μB per formula unit; energy = -2.86 eV per atom; distance to the lowest polymorph of the same formula = 0.000 eV per atom
1.0
-1.3135 3.5614 -4.0626
-5.1850 -2.0054 -0.0816
-4.9238 4.9370 2.1153
F S Cd
2 2 4
Direct
0.5000 0.5000 0.0000
0.2500 0.7500 0.5000
0.7500 0.2500 0.5000
0.0000 0.0000 0.0000
0.3750 0.4028 0.7500
0.8750 0.8472 0.7500
0.5972 0.1250 0.2500
0.1528 0.6250 0.2500

[17]
LiTeOs2, relaxed, DFT PBE-GGA; formation energy without anion corrections = 0.544 eV/atom; crystal system = tetragonal; total magnetization = 0.000 μB per formula unit; energy = -6.34 eV per atom
1.0
-4.2514 -0.7090 -2.1026
0.7649 -0.6584 -4.6882
1.9933 -2.0938 3.8263
Os Li Te
2 1 1
Direct
0.0000 0.0000 0.0000
0.2500 0.7500 0.5000
0.7500 0.2500 0.5000
0.5000 0.5000 0.0000

[18]
KLaAs, relaxed, DFT PBE-GGA; crystal system = trigonal; formation enthalpy at 0 K = -0.640 eV per atom; total magnetization = 0.006 μB per formula unit; energy = -4.20 eV per atom
1.0
4.5153 0.0000 0.0000
-2.2577 3.9104 0.0000
0.0000 0.0000 7.7924
La As K
1 1 1
Direct
0.6667 0.3333 0.7955
0.0000 0.0000 0.9575
0.3333 0.6667 0.2470

[19]
HoEr5In2Pb, relaxed, DFT PBE-GGA; crystal system = tetragonal; formation enthalpy at 0 K = -0.058 eV per atom; total magnetization = 0.014 μB per formula unit; energy = -4.12 eV per atom
1.0
-4.9340 -1.9628 6.6460
1.3363 -8.2749 -1.4518
7.4738 5.2873 1.6657
Ho Er In Pb
2 10 4 2
Direct
0.2500 0.7500 0.5000
0.7500 0.2500 0.5000
0.4241 0.3416 0.2657
0.8416 0.9241 0.2657
0.0000 0.0000 0.0000
0.3416 0.8416 0.2657
0.9241 0.4241 0.2657
0.6584 0.1584 0.7343
0.5759 0.6584 0.7343
0.5000 0.5000 0.0000
0.0759 0.5759 0.7343
0.1584 0.0759 0.7343
0.8890 0.6110 0.0000
0.1110 0.3890 0.0000
0.6110 0.1110 0.0000
0.3890 0.8890 0.0000
0.2500 0.2500 0.5000
0.7500 0.7500 0.5000

[20]
AlTl3Te, relaxed, DFT PBE-GGA; formation energy without anion corrections = 0.606 eV/atom; crystal system = cubic; total magnetization = 0.000 μB per formula unit; energy = -2.19 eV per atom; distance to the lowest polymorph of the same formula = 0.512 eV per atom
1.0
6.1803 0.0000 0.0000
0.0000 6.1803 0.0000
0.0000 0.0000 6.1803
Tl Al Te
3 1 1
Direct
0.0000 0.0000 0.5000
0.0000 0.5000 0.0000
0.5000 0.0000 0.0000
0.5000 0.5000 0.5000
0.0000 0.0000 0.0000

[21]
MnSnBiC2, relaxed, DFT PBE-GGA; crystal system = tetragonal; formation enthalpy at 0 K = 1.502 eV per atom; total magnetization = 0.001 μB per formula unit; energy = -5.60 eV per atom
1.0
-0.4152 -0.2876 -3.9068
1.3631 -3.6938 0.1271
-5.0827 -1.8523 0.6766
C Bi Sn Mn
2 1 1 1
Direct
0.5000 0.0000 0.0000
0.0000 0.5000 0.0000
0.0000 0.0000 0.5000
0.5000 0.5000 0.5000
0.0000 0.0000 0.0000

[22]
InGaAg, relaxed, DFT PBE-GGA; crystal system = orthorhombic; formation enthalpy at 0 K = 0.054 eV per atom; total magnetization = 0.000 μB per formula unit; energy = -2.82 eV per atom
1.0
4.2000 0.0000 0.0000
0.0000 4.2950 -1.2086
0.0000 -0.3591 6.9598
Ga Ag In
2 2 2
Direct
0.5000 0.9992 0.0000
0.0000 0.4992 0.0000
0.0000 0.8332 0.6678
0.0000 0.1654 0.3322
0.5000 0.6636 0.3287
0.5000 0.3349 0.6713

[23]
LaRe4Cl, relaxed, DFT PBE-GGA; formation energy without anion corrections = 0.744 eV/atom; crystal system = cubic; total magnetization = 0.000 μB per formula unit; energy = -8.68 eV per atom
1.0
0.0000 3.8489 3.8489
3.8489 0.0000 3.8489
3.8489 3.8489 0.0000
Re La Cl
4 1 1
Direct
0.8711 0.3763 0.3763
0.3763 0.3763 0.8711
0.3763 0.3763 0.3763
0.3763 0.8711 0.3763
0.0000 0.0000 0.0000
0.7500 0.7500 0.7500

[24]
Ba3NiSn, relaxed, DFT PBE-GGA; crystal system = cubic; formation enthalpy at 0 K = -0.162 eV per atom; total magnetization = 0.000 μB per formula unit; energy = -3.27 eV per atom; distance to the lowest polymorph of the same formula = 0.000 eV per atom
1.0
-2.2819 3.5548 -4.0599
-3.2251 -4.4325 -2.0683
-4.3264 1.4293 3.6832
Ba Ni Sn
3 1 1
Direct
0.0000 0.0000 0.5000
0.0000 0.5000 0.0000
0.5000 0.0000 0.0000
0.0000 0.0000 0.0000
0.5000 0.5000 0.5000

[25]
Cs8CdHg2, relaxed, DFT PBE-GGA; crystal system = monoclinic; formation enthalpy at 0 K = -0.079 eV per atom; total magnetization = 0.000 μB per formula unit; energy = -0.84 eV per atom
1.0
8.3110 0.0940 -1.3895
-2.6805 9.5040 -3.8906
-0.1476 -0.0627 10.6123
Cs Hg Cd
8 2 1
Direct
0.9783 0.2159 0.7852
0.7974 0.6499 0.6499
0.1819 0.3625 0.3625
0.5801 0.0770 0.3397
0.3728 0.9284 0.6616
0.5801 0.3397 0.0770
0.9783 0.7852 0.2159
0.3728 0.6616 0.9284
0.4902 0.6894 0.3231
0.4902 0.3231 0.6894
0.1777 0.0013 0.0013